1.
10
Lattice="5.353 -1.970 0.000 5.353 1.970 0.000 -3.959 0.000 10.527" Properties=species:S:1:pos:R:3 comment="Sm2Zn2Rh, optimized geometry, DFT PBE" energy_ev_per_cell=-43.9 magnetic_moment_mub_per_cell=0.0 formation_enthalpy_0k_ev_per_atom=-0.52 pbc="T T T"
Sm -1.304 0.000 3.555
Sm 1.595 0.000 1.287
Sm 5.151 0.000 9.240
Sm 8.050 0.000 6.972
Zn 1.723 0.000 4.770
Zn 4.650 0.000 1.138
Zn 2.096 0.000 9.388
Zn 5.023 0.000 5.757
Rh 0.496 0.000 7.253
Rh 6.251 0.000 3.274

2.
5
Lattice="5.188 0.000 0.000 0.000 5.188 0.000 0.000 0.000 5.340" Properties=species:S:1:pos:R:3 comment="V2SiSnBi, optimized geometry, DFT PBE" energy_ev_per_cell=-24.4 magnetic_moment_mub_per_cell=5.7 e_form_raw_kj_per_mol_fu=688 pbc="T T T"
V 0.000 2.594 0.000
V 2.594 0.000 0.000
Si 0.000 0.000 2.670
Sn 2.594 2.594 2.670
Bi 0.000 0.000 0.000

3.
6
Lattice="0.000 4.064 4.064 4.064 0.000 4.064 4.064 4.064 0.000" Properties=species:S:1:pos:R:3 comment="CdGa4Pb, optimized geometry, DFT PBE" energy_ev_per_cell=-16.3 magnetic_moment_mub_per_cell=0.0 formation_enthalpy_0k_ev_per_atom=0.07 pbc="T T T"
Cd 0.000 0.000 0.000
Ga 5.082 3.046 3.046
Ga 3.046 5.082 3.046
Ga 3.046 3.046 5.082
Ga 5.082 5.082 5.082
Pb 2.032 2.032 2.032